## NaHoRhPb (GGA-PBE)

Data for an optimized crystal structure of NaHoRhPb.

- E_form (eV/atom) = -0.306
- total moment (Bohr magnetons per cell) = 0.0
- electronic total energy (eV per atom) = -4.545

Lattice parameters (Å, degrees): 4.919 4.919 4.919 60.00 60.00 60.00
Fractional positions:
Na  0.000  0.000  0.000
Ho  0.750  0.750  0.750
Rh  0.500  0.500  0.500
Pb  0.250  0.250  0.250